First-principles (PBE) data for a geometry-optimized Pm3MgAl structure, as listed in Alexandria.

Properties
DFT formation energy: 31.6 meV per atom
Space group: Pmmn
Magnetic moment: 0.000 μB/atom

Unit cell a=4.834 b=6.885 c=9.552 alpha=90.00 beta=90.00 gamma=90.00
Fractional coordinates of all 10 atoms:
Pm (0.250, 0.010, 0.237)
Pm (0.250, 0.250, 0.570)
Pm (0.250, 0.490, 0.237)
Pm (0.750, 0.510, 0.763)
Pm (0.750, 0.750, 0.430)
Pm (0.750, 0.990, 0.763)
Mg (0.250, 0.250, 0.927)
Mg (0.750, 0.750, 0.073)
Al (0.250, 0.750, 0.624)
Al (0.750, 0.250, 0.376)